# 1
VASP calculation (PBE) on ErThGeAu after structural relaxation.

a b c (Å): 4.3313 4.1695 11.0568
angles (deg): 90.00 90.00 90.00
Last column: nearest neighbours and their distance in Å.
Positions (direct):
Er 0.0000 0.0000 0.0000  4 Au 3.06, 3 Ge 3.10-3.20
Er 0.0000 0.5000 0.5000  4 Au 3.06, 3 Ge 3.10-3.20
Th 0.5000 0.0000 0.2775  3 Au 3.02-3.26, 4 Ge 3.07
Th 0.5000 0.5000 0.7775  3 Au 3.02-3.26, 4 Ge 3.07
Ge 0.0000 0.0000 0.7195  2 Au 2.86, 4 Th 3.07, 3 Er 3.10-3.20
Ge 0.0000 0.5000 0.2195  2 Au 2.86, 4 Th 3.07, 3 Er 3.10-3.20
Au 0.5000 0.0000 0.5508  2 Ge 2.86, 1 Th 3.02, 4 Er 3.06
Au 0.5000 0.5000 0.0508  2 Ge 2.86, 1 Th 3.02, 4 Er 3.06

DFT formation energy = -763 meV/atom
total magnetization = 0.000 μB/atom
space-group type = No. 38
ΔE to the lowest computed polymorph = 0.0 kJ per mole of atoms

***

# 2
VASP calculation (PBE) on ErThGeAu after structural relaxation.

a b c (Å): 7.2910 7.2910 7.2910
angles (deg): 90.00 90.00 90.00
Last column: nearest neighbours and their distance in Å.
Positions (direct):
Er 0.0000 0.0000 0.0000  4 Ge 3.16, 4 Au 3.16
Er 0.0000 0.5000 0.5000  4 Au 3.16, 4 Ge 3.16
Er 0.5000 0.0000 0.5000  4 Au 3.16, 4 Ge 3.16
Er 0.5000 0.5000 0.0000  4 Au 3.16, 4 Ge 3.16
Th 0.0000 0.0000 0.5000  4 Ge 3.16, 4 Au 3.16
Th 0.0000 0.5000 0.0000  4 Ge 3.16, 4 Au 3.16
Th 0.5000 0.0000 0.0000  4 Ge 3.16, 4 Au 3.16
Th 0.5000 0.5000 0.5000  4 Ge 3.16, 4 Au 3.16
Ge 0.2500 0.2500 0.2500  4 Th 3.16, 4 Er 3.16
Ge 0.2500 0.7500 0.7500  4 Th 3.16, 4 Er 3.16
Ge 0.7500 0.2500 0.7500  4 Th 3.16, 4 Er 3.16
Ge 0.7500 0.7500 0.2500  4 Th 3.16, 4 Er 3.16
Au 0.2500 0.2500 0.7500  4 Th 3.16, 4 Er 3.16
Au 0.2500 0.7500 0.2500  4 Th 3.16, 4 Er 3.16
Au 0.7500 0.2500 0.2500  4 Th 3.16, 4 Er 3.16
Au 0.7500 0.7500 0.7500  4 Th 3.16, 4 Er 3.16

DFT formation energy = -615 meV/atom
total magnetization = 0.096 μB/atom
space-group type = No. 216
ΔE to the lowest computed polymorph = 14.3 kJ per mole of atoms

***

# 3
VASP calculation (PBE) on YErGeAu after structural relaxation.

a b c (Å): 7.1592 7.1592 7.1592
angles (deg): 90.00 90.00 90.00
Last column: nearest neighbours and their distance in Å.
Positions (direct):
Y 0.0000 0.0000 0.0000  4 Ge 3.10, 4 Au 3.10
Y 0.0000 0.5000 0.5000  4 Ge 3.10, 4 Au 3.10
Y 0.5000 0.0000 0.5000  4 Ge 3.10, 4 Au 3.10
Y 0.5000 0.5000 0.0000  4 Ge 3.10, 4 Au 3.10
Er 0.0000 0.0000 0.5000  4 Ge 3.10, 4 Au 3.10
Er 0.0000 0.5000 0.0000  4 Ge 3.10, 4 Au 3.10
Er 0.5000 0.0000 0.0000  4 Ge 3.10, 4 Au 3.10
Er 0.5000 0.5000 0.5000  4 Ge 3.10, 4 Au 3.10
Ge 0.2500 0.2500 0.7500  4 Er 3.10, 4 Y 3.10
Ge 0.2500 0.7500 0.2500  4 Er 3.10, 4 Y 3.10
Ge 0.7500 0.2500 0.2500  4 Er 3.10, 4 Y 3.10
Ge 0.7500 0.7500 0.7500  4 Er 3.10, 4 Y 3.10
Au 0.2500 0.2500 0.2500  4 Er 3.10, 4 Y 3.10
Au 0.2500 0.7500 0.7500  4 Er 3.10, 4 Y 3.10
Au 0.7500 0.2500 0.7500  4 Er 3.10, 4 Y 3.10
Au 0.7500 0.7500 0.2500  4 Er 3.10, 4 Y 3.10

DFT formation energy = -756 meV/atom
total magnetization = 0.090 μB/atom
space-group type = No. 216
ΔE to the lowest computed polymorph = 11.2 kJ per mole of atoms

***

# 4
VASP calculation (PBE) on YErGeAu after structural relaxation.

a b c (Å): 4.3024 4.0503 10.8674
angles (deg): 90.00 90.00 90.00
Last column: nearest neighbours and their distance in Å.
Positions (direct):
Y 0.0000 0.0000 0.0000  3 Ge 2.98-3.18, 4 Au 3.02
Y 0.0000 0.5000 0.5000  3 Ge 2.98-3.18, 4 Au 3.02
Er 0.5000 0.0000 0.2786  4 Ge 3.01, 3 Au 3.01-3.16
Er 0.5000 0.5000 0.7786  4 Ge 3.01, 3 Au 3.01-3.16
Ge 0.0000 0.0000 0.7260  2 Au 2.84, 1 Y 2.98, 4 Er 3.01
Ge 0.0000 0.5000 0.2260  2 Au 2.84, 1 Y 2.98, 4 Er 3.01
Au 0.5000 0.0000 0.5557  2 Ge 2.84, 3 Er 3.01-3.16, 4 Y 3.02
Au 0.5000 0.5000 0.0557  2 Ge 2.84, 3 Er 3.01-3.16, 4 Y 3.02

DFT formation energy = -872 meV/atom
total magnetization = 0.000 μB/atom
space-group type = No. 38
ΔE to the lowest computed polymorph = 0.0 kJ per mole of atoms

***

# 5
VASP calculation (PBE) on Er3H12Au5 after structural relaxation.

a b c (Å): 10.5127 10.5127 10.5127
angles (deg): 109.47 109.47 109.47
Last column: nearest neighbours and their distance in Å.
Positions (direct):
Er 0.1250 0.2500 0.3750  8 H 2.25-2.34
Er 0.1250 0.3750 0.7500  8 H 2.25-2.34
Er 0.2500 0.3750 0.1250  8 H 2.25-2.34
Er 0.2500 0.8750 0.6250  8 H 2.25-2.34
Er 0.3750 0.1250 0.2500  8 H 2.25-2.34
Er 0.3750 0.7500 0.1250  8 H 2.25-2.34
Er 0.6250 0.2500 0.8750  8 H 2.25-2.34
Er 0.6250 0.8750 0.7500  8 H 2.25-2.34
Er 0.7500 0.1250 0.3750  8 H 2.25-2.34
Er 0.7500 0.6250 0.8750  8 H 2.25-2.34
Er 0.8750 0.6250 0.2500  8 H 2.25-2.34
Er 0.8750 0.7500 0.6250  8 H 2.25-2.34
H 0.0388 0.2174 0.1339  2 Au 1.84-2.05
H 0.0388 0.3214 0.9049  2 Au 1.84-2.05
H 0.0835 0.7174 0.6786  2 Au 1.84-2.05
H 0.0835 0.8661 0.4049  2 Au 1.84-2.05
H 0.0951 0.6339 0.4165  2 Au 1.84-2.05
H 0.0951 0.9612 0.6786  2 Au 1.84-2.05
H 0.1339 0.0388 0.2174  2 Au 1.84-2.05
H 0.1339 0.5951 0.9165  2 Au 1.84-2.05
H 0.1786 0.2174 0.5835  2 Au 1.84-2.05
H 0.1786 0.4612 0.5951  2 Au 1.84-2.05
H 0.2174 0.1339 0.0388  2 Au 1.84-2.05
H 0.2174 0.5835 0.1786  2 Au 1.84-2.05
H 0.2826 0.3214 0.9165  2 Au 1.84-2.05
H 0.2826 0.4612 0.3661  2 Au 1.84-2.05
H 0.3214 0.9049 0.0388  2 Au 1.84-2.05
H 0.3214 0.9165 0.2826  2 Au 1.84-2.05
H 0.3661 0.2826 0.4612  2 Au 1.84-2.05
H 0.3661 0.5835 0.9049  2 Au 1.84-2.05
H 0.4049 0.0835 0.8661  2 Au 1.84-2.05
H 0.4049 0.8214 0.5388  2 Au 1.84-2.05
H 0.4165 0.0951 0.6339  2 Au 1.84-2.05
H 0.4165 0.8214 0.7826  2 Au 1.84-2.05
H 0.4612 0.3661 0.2826  2 Au 1.84-2.05
H 0.4612 0.5951 0.1786  2 Au 1.84-2.05
H 0.5388 0.4049 0.8214  2 Au 1.84-2.05
H 0.5388 0.6339 0.7174  2 Au 1.84-2.05
H 0.5835 0.1786 0.2174  2 Au 1.84-2.05
H 0.5835 0.9049 0.3661  2 Au 1.84-2.05
H 0.5951 0.1786 0.4612  2 Au 1.84-2.05
H 0.5951 0.9165 0.1339  2 Au 1.84-2.05
H 0.6339 0.4165 0.0951  2 Au 1.84-2.05
H 0.6339 0.7174 0.5388  2 Au 1.84-2.05
H 0.6786 0.0835 0.7174  2 Au 1.84-2.05
H 0.6786 0.0951 0.9612  2 Au 1.84-2.05
H 0.7174 0.5388 0.6339  2 Au 1.84-2.05
H 0.7174 0.6786 0.0835  2 Au 1.84-2.05
H 0.7826 0.4165 0.8214  2 Au 1.84-2.05
H 0.7826 0.8661 0.9612  2 Au 1.84-2.05
H 0.8214 0.5388 0.4049  2 Au 1.84-2.05
H 0.8214 0.7826 0.4165  2 Au 1.84-2.05
H 0.8661 0.4049 0.0835  2 Au 1.84-2.05
H 0.8661 0.9612 0.7826  2 Au 1.84-2.05
H 0.9049 0.0388 0.3214  2 Au 1.84-2.05
H 0.9049 0.3661 0.5835  2 Au 1.84-2.05
H 0.9165 0.1339 0.5951  2 Au 1.84-2.05
H 0.9165 0.2826 0.3214  2 Au 1.84-2.05
H 0.9612 0.6786 0.0951  2 Au 1.84-2.05
H 0.9612 0.7826 0.8661  2 Au 1.84-2.05
Au 0.0000 0.0000 0.0000  6 H 2.05
Au 0.0000 0.0000 0.5000  6 H 2.05
Au 0.0000 0.5000 0.0000  6 H 2.05
Au 0.0000 0.5000 0.5000  6 H 2.05
Au 0.1250 0.7500 0.8750  4 H 1.84
Au 0.1250 0.8750 0.2500  4 H 1.84
Au 0.2500 0.1250 0.8750  4 H 1.84
Au 0.2500 0.6250 0.3750  4 H 1.84
Au 0.3750 0.2500 0.6250  4 H 1.84
Au 0.3750 0.6250 0.7500  4 H 1.84
Au 0.5000 0.0000 0.0000  6 H 2.05
Au 0.5000 0.0000 0.5000  6 H 2.05
Au 0.5000 0.5000 0.0000  6 H 2.05
Au 0.5000 0.5000 0.5000  6 H 2.05
Au 0.6250 0.3750 0.2500  4 H 1.84
Au 0.6250 0.7500 0.3750  4 H 1.84
Au 0.7500 0.3750 0.6250  4 H 1.84
Au 0.7500 0.8750 0.1250  4 H 1.84
Au 0.8750 0.1250 0.7500  4 H 1.84
Au 0.8750 0.2500 0.1250  4 H 1.84

total magnetization = 0.000 μB/atom
space-group type = No. 230
energy = -3.627 eV per atom

***

# 6
VASP calculation (PBE) on Er2HAu after structural relaxation.

a b c (Å): 3.8531 3.8531 19.3207
angles (deg): 90.00 90.00 120.00
Last column: nearest neighbours and their distance in Å.
Positions (direct):
Er 0.0000 0.0000 0.2376  3 H 2.61, 3 Au 2.89
Er 0.0000 0.0000 0.7624  3 H 2.61, 3 Au 2.89
Er 0.3333 0.6667 0.4291  3 H 2.61, 3 Au 2.89
Er 0.3333 0.6667 0.9042  3 H 2.61, 3 Au 2.89
Er 0.6667 0.3333 0.0958  3 H 2.61, 3 Au 2.89
Er 0.6667 0.3333 0.5709  3 H 2.61, 3 Au 2.89
H 0.0000 0.0000 0.5000  6 Er 2.61
H 0.3333 0.6667 0.1667  6 Er 2.61
H 0.6667 0.3333 0.8333  6 Er 2.61
Au 0.0000 0.0000 0.0000  6 Er 2.89
Au 0.3333 0.6667 0.6667  6 Er 2.89
Au 0.6667 0.3333 0.3333  6 Er 2.89

total magnetization = 0.000 μB/atom
space-group type = No. 166
energy = -4.401 eV per atom

***

Q: Number 2 is which compound?
A: ErThGeAu